(1)
Density functional theory data (GGA-PBE) for a relaxed SbPd8S2 crystal.

Cell lengths 4.4444, 6.6636, 6.6636 Å; angles 111.55, 98.94, 98.94 degrees
Last column: nearest neighbours and their distance in Å.
Element x y z (fractional)
Sb 0.5000 0.0000 0.0000  12 Pd 2.70-3.00
Pd 0.9063 0.9348 0.6769  2 S 2.50-2.54, 1 Pd 2.80
Pd 0.9063 0.6769 0.9348  2 S 2.50-2.54, 1 Pd 2.80
Pd 0.3260 0.6249 0.6249  2 S 2.47, 1 Sb 2.70, 1 Pd 2.74
Pd 0.5000 0.7528 0.2472  2 S 2.37
Pd 0.5000 0.2472 0.7528  2 S 2.37
Pd 0.6740 0.3751 0.3751  2 S 2.47, 1 Sb 2.70, 1 Pd 2.74
Pd 0.0937 0.3231 0.0652  2 S 2.50-2.54, 1 Pd 2.80
Pd 0.0937 0.0652 0.3231  2 S 2.50-2.54, 1 Pd 2.80
S 0.0000 0.3214 0.6786  8 Pd 2.37-2.54
S 0.0000 0.6786 0.3214  8 Pd 2.37-2.54

Values from the calculation:
Calculated volume: 176 Å³ per cell
E_form (uncorrected): -0.225 eV per atom
DOS(E_F): 0.5809 states/eV per atom

(2)
Density functional theory data (GGA-PBE) for a relaxed ZrHgPd6 crystal.

Cell lengths 5.4317, 5.4317, 5.4317 Å; angles 83.18, 83.18, 83.18 degrees
Last column: nearest neighbours and their distance in Å.
Element x y z (fractional)
Zr 0.0000 0.0000 0.0000  6 Pd 2.64
Hg 0.5000 0.5000 0.5000  6 Pd 2.76
Pd 0.1570 0.5365 0.1570  1 Zr 2.64, 5 Pd 2.64-2.79, 1 Hg 2.76
Pd 0.1570 0.1570 0.5365  1 Zr 2.64, 5 Pd 2.64-2.79, 1 Hg 2.76
Pd 0.8430 0.4635 0.8430  1 Zr 2.64, 5 Pd 2.64-2.79, 1 Hg 2.76
Pd 0.4635 0.8430 0.8430  1 Zr 2.64, 5 Pd 2.64-2.79, 1 Hg 2.76
Pd 0.8430 0.8430 0.4635  1 Zr 2.64, 5 Pd 2.64-2.79, 1 Hg 2.76
Pd 0.5365 0.1570 0.1570  1 Zr 2.64, 5 Pd 2.64-2.79, 1 Hg 2.76

Values from the calculation:
Calculated volume: 157 Å³ per cell
Raw total energy: -4.978 eV per atom
DOS(E_F): 0.6295 states/eV per atom

(3)
Density functional theory data (GGA-PBE) for a relaxed Tl2ZnCl crystal.

Cell lengths 6.2998, 6.2998, 4.8062 Å; angles 89.81, 89.81, 36.99 degrees
Last column: nearest neighbours and their distance in Å.
Element x y z (fractional)
Cl 0.2463 0.2463 0.1255  5 Tl 3.02-3.13
Tl 0.9934 0.9934 0.1243  1 Cl 3.02, 4 Zn 3.13
Tl 0.7572 0.7572 0.6259  1 Zn 3.04, 4 Cl 3.13
Zn 0.5030 0.5030 0.6243  5 Tl 3.04-3.13

Values from the calculation:
Calculated volume: 115 Å³ per cell
E_form (uncorrected): -0.278 eV per atom
DOS(E_F): 0.4097 states/eV per atom

(4)
Density functional theory data (GGA-PBE) for a relaxed Ba2ZrBeS5 crystal.

Cell lengths 3.9525, 9.0253, 12.9661 Å; angles 90.00, 90.00, 102.65 degrees
Last column: nearest neighbours and their distance in Å.
Element x y z (fractional)
Ba 0.8786 0.7573 0.8331  6 S 3.05-3.30
Ba 0.1203 0.2407 0.6920  7 S 3.07-3.42
Ba 0.1214 0.2427 0.3331  6 S 3.05-3.30
Ba 0.8797 0.7593 0.1920  7 S 3.07-3.42
Zr 0.8054 0.6109 0.5249  6 S 2.52-2.67
Zr 0.1946 0.3891 0.0249  6 S 2.52-2.67
Be 0.5661 0.1322 0.9228  4 S 2.05-2.28
Be 0.4339 0.8678 0.4228  4 S 2.05-2.28
S 0.3372 0.6743 0.0129  1 Zr 2.52
S 0.6879 0.3758 0.8864  1 Be 2.20
S 0.5064 0.0129 0.7872  1 Be 2.05
S 0.3038 0.6077 0.6566  2 Zr 2.61
S 0.9504 0.9009 0.5080  2 Be 2.28
S 0.6628 0.3257 0.5129  1 Zr 2.52
S 0.3121 0.6242 0.3864  1 Be 2.20
S 0.4936 0.9871 0.2872  1 Be 2.05
S 0.6962 0.3923 0.1566  2 Zr 2.61
S 0.0496 0.0991 0.0080  2 Be 2.28

Values from the calculation:
Calculated volume: 451 Å³ per cell
E_form (uncorrected): -1.652 eV per atom